A plane-wave DFT calculation with GGA+U was carried out for an optimized crystal structure of KMnI2O.

It has space group P4/mmm (No. 123), with a = 6.3095 Å, b = 6.3095 Å, c = 4.6235 Å, α = 90.00°, β = 90.00° and γ = 90.00°. The inequivalent atoms are K at (0.0000, 0.0000, 0.0000), Mn at (0.5000, 0.5000, 0.5000), I at (0.0000, 0.5000, 0.0000) and O at (0.0000, 0.0000, 0.5000).

The calculation puts the total magnetization at 5.591 μB per formula unit. The value obtained for the total energy is -3.04 eV per atom. The value obtained for the excess energy over the best structure of this formula in the dataset is 1.2426 eV per atom. The mass density is 3.282 Mg/m³.